# 1
DFT (GGA-PBE) results for a relaxed MgRe2Tc crystal.

a = 3.094 Å, b = 4.486 Å, c = 8.778 Å
α = 90.00°, β = 90.00°, γ = 90.00°
Atoms (fractional coordinates):
Mg: 0.000 0.000 0.000
Mg: 0.500 0.500 0.500
Re: 0.000 0.000 0.501
Re: 0.000 0.500 0.236
Re: 0.500 0.000 0.736
Re: 0.500 0.500 0.001
Tc: 0.000 0.500 0.760
Tc: 0.500 0.000 0.260

Summary:
Space group   Imm2, No. 44

# 2
DFT (GGA-PBE) results for a relaxed MgRe2Tc crystal.

a = 2.979 Å, b = 4.537 Å, c = 9.204 Å
α = 90.00°, β = 90.00°, γ = 90.00°
Atoms (fractional coordinates):
Mg: 0.000 0.000 0.000
Mg: 0.500 0.500 0.000
Re: 0.000 0.000 0.504
Re: 0.000 0.500 0.261
Re: 0.500 0.000 0.261
Re: 0.500 0.500 0.504
Tc: 0.000 0.500 0.743
Tc: 0.500 0.000 0.743

Summary:
Space group   Cmm2, No. 35

# 3
DFT (GGA-PBE) results for a relaxed MgRe2Tc crystal.

a = 2.751 Å, b = 4.119 Å, c = 5.375 Å
α = 90.00°, β = 90.00°, γ = 90.00°
Atoms (fractional coordinates):
Mg: 0.000 0.000 0.000
Re: 0.000 0.000 0.499
Re: 0.500 0.500 0.263
Tc: 0.500 0.500 0.759

Summary:
Space group   Pmm2, No. 25

# 4
DFT (GGA-PBE) results for a relaxed MgRe2Tc crystal.

a = 5.349 Å, b = 8.918 Å, c = 2.692 Å
α = 90.00°, β = 109.00°, γ = 90.00°
Atoms (fractional coordinates):
Mg: 0.000 0.000 0.000
Mg: 0.500 0.500 0.000
Re: 0.250 0.250 0.500
Re: 0.250 0.750 0.500
Re: 0.750 0.250 0.500
Re: 0.750 0.750 0.500
Tc: 0.000 0.500 0.000
Tc: 0.500 0.000 0.000

Summary:
Space group   C2/m, No. 12

Number 1: VASP energy -72.08 eV/cell, ΔE_f 4.695 kcal/mol of atoms. Number 2: VASP energy -71.62 eV/cell, ΔE_f 6.045 kcal/mol of atoms. Number 3: VASP energy -35.74 eV/cell, ΔE_f 6.415 kcal/mol of atoms. Number 4: VASP energy -71.56 eV/cell, ΔE_f 6.200 kcal/mol of atoms.